# 1
{"formula": "Na2PtO3", "functional": "SCAN", "state": "PBEsol geometry", "lattice_angstrom": [[3.144, 0.000, 0.000], [0.000, 4.366, 0.000], [-1.572, -2.183, 4.885]], "species": ["Na", "Na", "Pt", "O", "O", "O"], "frac_coords": [[0.672, 0.672, 0.345], [0.328, 0.328, 0.655], [0.000, 0.000, 0.000], [0.000, 0.500, 0.000], [0.632, 0.132, 0.264], [0.368, 0.868, 0.736]], "e_form_raw_kj_per_mol_atoms": -116.8, "n_ef_per_ev_atom": 0.502}

# 2
{"formula": "Na2PtO3", "functional": "SCAN", "state": "PBEsol geometry", "lattice_angstrom": [[5.444, 0.000, -0.005], [2.722, 4.716, -0.002], [1.851, 0.000, 10.511]], "species": ["Na", "Na", "Na", "Na", "Na", "Na", "Na", "Na", "Pt", "Pt", "Pt", "Pt", "O", "O", "O", "O", "O", "O", "O", "O", "O", "O", "O", "O"], "frac_coords": [[0.085, 0.831, 0.250], [0.160, 0.160, 0.000], [0.915, 0.169, 0.750], [0.680, 0.160, 0.500], [0.840, 0.840, 0.000], [0.500, 0.500, 0.000], [0.320, 0.840, 0.500], [0.000, 0.500, 0.500], [0.249, 0.501, 0.750], [0.582, 0.835, 0.750], [0.751, 0.499, 0.250], [0.418, 0.165, 0.250], [0.313, 0.169, 0.646], [0.589, 0.530, 0.646], [0.481, 0.831, 0.146], [0.687, 0.831, 0.354], [0.119, 0.470, 0.146], [0.881, 0.530, 0.854], [0.758, 0.192, 0.146], [0.411, 0.470, 0.354], [0.951, 0.808, 0.646], [0.242, 0.808, 0.854], [0.049, 0.192, 0.354], [0.519, 0.169, 0.854]], "e_form_raw_kj_per_mol_atoms": -132.7, "n_ef_per_ev_atom": 0.000}

# 3
{"formula": "Na2TiPtO", "functional": "SCAN", "state": "PBEsol geometry", "lattice_angstrom": [[3.993, 0.000, 0.000], [0.000, 4.346, 0.000], [0.000, 0.000, 4.346]], "species": ["Na", "Na", "O", "Pt", "Ti"], "frac_coords": [[0.000, 0.000, 0.500], [0.000, 0.500, 0.000], [0.000, 0.000, 0.000], [0.500, 0.500, 0.500], [0.500, 0.000, 0.000]], "e_form_raw_kj_per_mol_atoms": -95.4, "n_ef_per_ev_atom": 0.428}

# 4
{"formula": "Rb3NaRe2O9", "functional": "SCAN", "state": "PBEsol geometry", "lattice_angstrom": [[-5.853, -1.258, -1.385], [2.015, -0.712, 5.761], [-3.628, 13.631, 2.952]], "species": ["Rb", "Rb", "Rb", "Rb", "Rb", "Rb", "Na", "Na", "Re", "Re", "Re", "Re", "O", "O", "O", "O", "O", "O", "O", "O", "O", "O", "O", "O", "O", "O", "O", "O", "O", "O"], "frac_coords": [[0.333, 0.667, 0.390], [0.667, 0.333, 0.610], [0.667, 0.333, 0.890], [0.333, 0.667, 0.110], [0.000, 0.000, 0.250], [0.000, 0.000, 0.750], [0.000, 0.000, 0.500], [0.000, 0.000, 0.000], [0.333, 0.667, 0.851], [0.667, 0.333, 0.149], [0.667, 0.333, 0.351], [0.333, 0.667, 0.649], [0.935, 0.467, 0.250], [0.065, 0.533, 0.750], [0.533, 0.065, 0.250], [0.467, 0.935, 0.750], [0.533, 0.467, 0.250], [0.467, 0.533, 0.750], [0.631, 0.816, 0.907], [0.369, 0.184, 0.093], [0.184, 0.369, 0.907], [0.369, 0.184, 0.407], [0.816, 0.631, 0.093], [0.631, 0.816, 0.593], [0.184, 0.816, 0.907], [0.816, 0.631, 0.407], [0.816, 0.184, 0.093], [0.184, 0.369, 0.593], [0.816, 0.184, 0.407], [0.184, 0.816, 0.593]], "e_form_raw_kj_per_mol_atoms": -188.2, "n_ef_per_ev_atom": 0.000}

# 5
{"formula": "Rb3NaRu2O8", "functional": "SCAN", "state": "PBEsol geometry", "lattice_angstrom": [[6.034, 0.000, 0.000], [-3.017, 5.226, 0.000], [0.000, 0.000, 7.888]], "species": ["Rb", "Rb", "Rb", "Na", "Ru", "Ru", "O", "O", "O", "O", "O", "O", "O", "O"], "frac_coords": [[0.333, 0.667, 0.653], [0.000, 0.000, 0.000], [0.667, 0.333, 0.347], [0.000, 0.000, 0.500], [0.333, 0.667, 0.216], [0.667, 0.333, 0.784], [0.823, 0.177, 0.694], [0.353, 0.177, 0.694], [0.823, 0.647, 0.694], [0.177, 0.823, 0.306], [0.177, 0.353, 0.306], [0.647, 0.823, 0.306], [0.333, 0.667, 0.995], [0.667, 0.333, 0.005]], "e_form_raw_kj_per_mol_atoms": -144.2}

# 6
{"formula": "RbNaS2O", "functional": "SCAN", "state": "PBEsol geometry", "lattice_angstrom": [[4.525, 0.000, 0.000], [0.000, 4.555, 0.000], [0.000, 0.000, 4.555]], "species": ["Na", "S", "S", "O", "Rb"], "frac_coords": [[0.500, 0.000, 0.000], [0.000, 0.000, 0.500], [0.000, 0.500, 0.000], [0.000, 0.000, 0.000], [0.500, 0.500, 0.500]], "e_form_raw_kj_per_mol_atoms": -39.9, "n_ef_per_ev_atom": 0.345}

# 7
{"formula": "Na2ReO3", "functional": "SCAN", "state": "PBEsol geometry", "lattice_angstrom": [[5.568, 0.000, 0.000], [-2.784, 4.822, 0.000], [0.000, 0.000, 12.148]], "species": ["Na", "Na", "Na", "Na", "Na", "Na", "Na", "Na", "Re", "Re", "Re", "Re", "O", "O", "O", "O", "O", "O", "O", "O", "O", "O", "O", "O"], "frac_coords": [[0.333, 0.667, 0.750], [0.667, 0.333, 0.250], [0.667, 0.333, 0.750], [0.333, 0.667, 0.250], [0.333, 0.667, 0.000], [0.667, 0.333, 0.000], [0.667, 0.333, 0.500], [0.333, 0.667, 0.500], [0.000, 0.000, 0.845], [0.000, 0.000, 0.155], [0.000, 0.000, 0.345], [0.000, 0.000, 0.655], [0.000, 0.679, 0.876], [0.000, 0.321, 0.124], [0.679, 0.000, 0.876], [0.000, 0.321, 0.376], [0.679, 0.000, 0.624], [0.321, 0.000, 0.124], [0.000, 0.679, 0.624], [0.321, 0.000, 0.376], [0.321, 0.321, 0.876], [0.679, 0.679, 0.124], [0.679, 0.679, 0.376], [0.321, 0.321, 0.624]], "e_form_raw_kj_per_mol_atoms": -174.5, "n_ef_per_ev_atom": 0.000}

# 8
{"formula": "NaSr2ReO6", "functional": "SCAN", "state": "PBEsol geometry", "lattice_angstrom": [[5.718, 0.000, 0.000], [2.859, 4.952, 0.000], [2.859, 1.651, 4.669]], "species": ["Re", "Na", "O", "O", "O", "O", "O", "O", "Sr", "Sr"], "frac_coords": [[0.500, 0.500, 0.500], [0.000, 0.000, 0.000], [0.268, 0.732, 0.268], [0.268, 0.732, 0.732], [0.732, 0.268, 0.268], [0.732, 0.732, 0.268], [0.732, 0.268, 0.732], [0.268, 0.268, 0.732], [0.750, 0.750, 0.750], [0.250, 0.250, 0.250]], "e_form_raw_kj_per_mol_atoms": -233.7, "n_ef_per_ev_atom": 0.000}

What did the fourth record say?
{"formula": "Rb3NaRe2O9", "functional": "SCAN", "state": "PBEsol geometry", "lattice_angstrom": [[-5.853, -1.258, -1.385], [2.015, -0.712, 5.761], [-3.628, 13.631, 2.952]], "species": ["Rb", "Rb", "Rb", "Rb", "Rb", "Rb", "Na", "Na", "Re", "Re", "Re", "Re", "O", "O", "O", "O", "O", "O", "O", "O", "O", "O", "O", "O", "O", "O", "O", "O", "O", "O"], "frac_coords": [[0.333, 0.667, 0.390], [0.667, 0.333, 0.610], [0.667, 0.333, 0.890], [0.333, 0.667, 0.110], [0.000, 0.000, 0.250], [0.000, 0.000, 0.750], [0.000, 0.000, 0.500], [0.000, 0.000, 0.000], [0.333, 0.667, 0.851], [0.667, 0.333, 0.149], [0.667, 0.333, 0.351], [0.333, 0.667, 0.649], [0.935, 0.467, 0.250], [0.065, 0.533, 0.750], [0.533, 0.065, 0.250], [0.467, 0.935, 0.750], [0.533, 0.467, 0.250], [0.467, 0.533, 0.750], [0.631, 0.816, 0.907], [0.369, 0.184, 0.093], [0.184, 0.369, 0.907], [0.369, 0.184, 0.407], [0.816, 0.631, 0.093], [0.631, 0.816, 0.593], [0.184, 0.816, 0.907], [0.816, 0.631, 0.407], [0.816, 0.184, 0.093], [0.184, 0.369, 0.593], [0.816, 0.184, 0.407], [0.184, 0.816, 0.593]], "e_form_raw_kj_per_mol_atoms": -188.2, "n_ef_per_ev_atom": 0.000}

Copy entry 4 word for word.
{"formula": "Rb3NaRe2O9", "functional": "SCAN", "state": "PBEsol geometry", "lattice_angstrom": [[-5.853, -1.258, -1.385], [2.015, -0.712, 5.761], [-3.628, 13.631, 2.952]], "species": ["Rb", "Rb", "Rb", "Rb", "Rb", "Rb", "Na", "Na", "Re", "Re", "Re", "Re", "O", "O", "O", "O", "O", "O", "O", "O", "O", "O", "O", "O", "O", "O", "O", "O", "O", "O"], "frac_coords": [[0.333, 0.667, 0.390], [0.667, 0.333, 0.610], [0.667, 0.333, 0.890], [0.333, 0.667, 0.110], [0.000, 0.000, 0.250], [0.000, 0.000, 0.750], [0.000, 0.000, 0.500], [0.000, 0.000, 0.000], [0.333, 0.667, 0.851], [0.667, 0.333, 0.149], [0.667, 0.333, 0.351], [0.333, 0.667, 0.649], [0.935, 0.467, 0.250], [0.065, 0.533, 0.750], [0.533, 0.065, 0.250], [0.467, 0.935, 0.750], [0.533, 0.467, 0.250], [0.467, 0.533, 0.750], [0.631, 0.816, 0.907], [0.369, 0.184, 0.093], [0.184, 0.369, 0.907], [0.369, 0.184, 0.407], [0.816, 0.631, 0.093], [0.631, 0.816, 0.593], [0.184, 0.816, 0.907], [0.816, 0.631, 0.407], [0.816, 0.184, 0.093], [0.184, 0.369, 0.593], [0.816, 0.184, 0.407], [0.184, 0.816, 0.593]], "e_form_raw_kj_per_mol_atoms": -188.2, "n_ef_per_ev_atom": 0.000}